Record 1
# NaLiAgPt

A relaxed NaLiAgPt crystal (PBE, the Alexandria database).

Volume: 17.3 Å³ per atom
E_tot: -51.47 eV for the cell shown
Formation energy: -186 meV/atom

Cell lengths 6.5209, 6.5209, 6.5209 Å; angles 90.00, 90.00, 90.00 degrees
Closest atoms and distances in Å follow each position.
Space group F-43m (No. 216)
Inequivalent atoms, fractional coordinates:
1 Na 0.0000 0.0000 0.0000 (multiplicity 4)  4 Li 2.82, 4 Ag 2.82
2 Li 0.2500 0.2500 0.7500 (multiplicity 4)  4 Na 2.82, 4 Pt 2.82
3 Ag 0.2500 0.2500 0.2500 (multiplicity 4)  4 Pt 2.82, 4 Na 2.82
4 Pt 0.0000 0.0000 0.5000 (multiplicity 4)  4 Li 2.82, 4 Ag 2.82

=====

Record 2
# RbNaLi2Ag

A relaxed RbNaLi2Ag crystal (PBE, the Alexandria database).

E above lowest polymorph: 217 meV per atom
Volume: 35.9 Å³ per atom
E_tot: -7.52 eV for the cell shown
Formation energy: 290 meV/atom

Cell lengths 5.6161, 5.6161, 5.6873 Å; angles 90.00, 90.00, 90.00 degrees
Closest atoms and distances in Å follow each position.
Space group P4/mmm (No. 123)
Inequivalent atoms, fractional coordinates:
1 Rb 0.0000 0.0000 0.0000 (multiplicity 1)  4 Ag 3.97, 8 Li 4.00
2 Na 0.5000 0.5000 0.5000 (multiplicity 1)  4 Li 2.81, 2 Ag 2.84
3 Li 0.0000 0.5000 0.5000 (multiplicity 2)  2 Na 2.81
4 Ag 0.5000 0.5000 0.0000 (multiplicity 1)  2 Na 2.84

=====

Record 3
# RbNaLi2Ag

A relaxed RbNaLi2Ag crystal (PBE, the Alexandria database).

E above lowest polymorph: 0 meV per atom
Volume: 34.0 Å³ per atom
E_tot: -8.60 eV for the cell shown
Formation energy: 73 meV/atom

Cell lengths 5.3966, 5.3966, 5.8382 Å; angles 90.00, 90.00, 90.00 degrees
Closest atoms and distances in Å follow each position.
Space group P4/mmm (No. 123)
Inequivalent atoms, fractional coordinates:
1 Rb 0.0000 0.0000 0.0000 (multiplicity 1)  4 Na 3.82, 8 Li 3.98
2 Na 0.5000 0.5000 0.0000 (multiplicity 1)  2 Ag 2.92
3 Li 0.0000 0.5000 0.5000 (multiplicity 2)  2 Ag 2.70
4 Ag 0.5000 0.5000 0.5000 (multiplicity 1)  4 Li 2.70, 2 Na 2.92

=====

Record 4
# RbNa2LiAg

A relaxed RbNa2LiAg crystal (PBE, the Alexandria database).

E above lowest polymorph: 54 meV per atom
Volume: 35.9 Å³ per atom
E_tot: -7.79 eV for the cell shown
Formation energy: 117 meV/atom

Cell lengths 5.8678, 5.8678, 5.2173 Å; angles 90.00, 90.00, 90.00 degrees
Closest atoms and distances in Å follow each position.
Space group P4/mmm (No. 123)
Inequivalent atoms, fractional coordinates:
1 Rb 0.0000 0.0000 0.0000 (multiplicity 1)  8 Na 3.93, 4 Ag 4.15
2 Na 0.0000 0.5000 0.5000 (multiplicity 2)  2 Li 2.93
3 Li 0.5000 0.5000 0.5000 (multiplicity 1)  2 Ag 2.61
4 Ag 0.5000 0.5000 0.0000 (multiplicity 1)  2 Li 2.61